# 1
CrCu2B: relaxed, GGA-PBE.

Energy of formation from the pure elements: 565 meV/atom

a b c (Å): 3.206 3.206 9.088
angles (deg): 79.84 79.84 90.00
Sites, in units of the cell vectors:
Cu: 0.616 0.125 0.250
Cu: 0.875 0.866 0.750
Cu: 0.134 0.625 0.250
Cu: 0.375 0.384 0.750
Cr: 0.000 0.000 0.000
Cr: 0.750 0.250 0.500
B: 0.250 0.750 0.500
B: 0.500 0.500 0.000

***

# 2
CrCuB: relaxed, GGA-PBE.

Energy of formation from the pure elements: 176 meV/atom

a b c (Å): 3.580 3.580 3.580
angles (deg): 60.00 60.00 60.00
Sites, in units of the cell vectors:
B: 0.250 0.250 0.250
Cr: 0.000 0.000 0.000
Cu: 0.500 0.500 0.500

***

# 3
CrFeCuB2: relaxed, GGA-PBE.

Energy relative to the lowest polymorph listed for this composition: 0 meV per atom
Energy of formation from the pure elements: 1171 meV/atom

a b c (Å): 3.664 4.339 3.664
angles (deg): 90.00 90.00 90.00
Sites, in units of the cell vectors:
Fe: 0.000 0.000 0.000
Cu: 0.000 0.500 0.000
B: 0.000 0.000 0.500
B: 0.500 0.000 0.000
Cr: 0.500 0.500 0.500

***

# 4
CrFeCuB2: relaxed, GGA-PBE.

Energy relative to the lowest polymorph listed for this composition: 152 meV per atom
Energy of formation from the pure elements: 1323 meV/atom

a b c (Å): 3.822 4.407 3.822
angles (deg): 90.00 90.00 90.00
Sites, in units of the cell vectors:
Fe: 0.500 0.500 0.500
B: 0.500 0.000 0.000
B: 0.000 0.000 0.500
Cu: 0.000 0.500 0.000
Cr: 0.000 0.000 0.000

***

# 5
CrGaCuB2: relaxed, GGA-PBE.

Energy of formation from the pure elements: 1690 meV/atom

a b c (Å): 3.982 4.888 3.982
angles (deg): 90.00 90.00 90.00
Sites, in units of the cell vectors:
B: 0.500 0.000 0.000
B: 0.000 0.000 0.500
Cu: 0.500 0.500 0.500
Ga: 0.000 0.000 0.000
Cr: 0.000 0.500 0.000

***

# 6
KCrCuB2: relaxed, GGA-PBE.

Energy of formation from the pure elements: 1639 meV/atom

a b c (Å): 4.034 5.187 4.034
angles (deg): 90.00 90.00 90.00
Sites, in units of the cell vectors:
Cr: 0.500 0.500 0.500
B: 0.500 0.000 0.000
B: 0.000 0.000 0.500
K: 0.000 0.500 0.000
Cu: 0.000 0.000 0.000

***

# 7
CrCuB2N: relaxed, GGA-PBE.

Formation energy (no corrections): 1165 meV/atom

a b c (Å): 3.953 3.594 3.953
angles (deg): 90.00 90.00 90.00
Sites, in units of the cell vectors:
N: 0.000 0.500 0.000
Cr: 0.000 0.000 0.000
Cu: 0.500 0.500 0.500
B: 0.500 0.000 0.000
B: 0.000 0.000 0.500

***

Electronic total energy
In order: -44.5, -19.9, -29.7, -28.9, -21.7, -20.0, -29.6
Unit: eV/cell
DOS at the Fermi energy
In order: 4.43, 1.34, 8.05, 4.81, 2.98, 2.40, 2.50
Unit: states/eV per cell